Crystalline YSb2Pb at its relaxed geometry. Source: Alexandria via LeMat-Bulk, functional GGA-PBE.

Unit cell a=11.555 b=11.555 c=11.555 alpha=17.21 beta=17.21 gamma=17.21
Fractional positions:
Y  0.000  0.000  0.000
Sb  0.259  0.259  0.259
Sb  0.741  0.741  0.741
Pb  0.500  0.500  0.500

Summary:
Formation energy (no corrections) in eV per formula unit: -0.900


Crystalline Zn2SbPb at its relaxed geometry. Source: Alexandria via LeMat-Bulk, functional GGA-PBE.

Unit cell a=6.493 b=6.493 c=6.493 alpha=39.75 beta=39.75 gamma=39.75
Fractional positions:
Zn  0.000  0.000  0.000
Zn  0.182  0.182  0.182
Sb  0.597  0.597  0.597
Pb  0.422  0.422  0.422

Summary:
Formation energy (no corrections) in eV per formula unit: 0.526


Crystalline Zn2SbPb at its relaxed geometry. Source: Alexandria via LeMat-Bulk, functional GGA-PBE.

Unit cell a=4.507 b=4.820 c=4.820 alpha=70.77 beta=90.00 gamma=90.00
Fractional positions:
Zn  0.000  0.000  0.000
Zn  0.500  0.158  0.158
Sb  0.500  0.790  0.790
Pb  0.000  0.388  0.388

Summary:
Formation energy (no corrections) in eV per formula unit: 0.390


Crystalline ZnSb2Pb2 at its relaxed geometry. Source: Alexandria via LeMat-Bulk, functional GGA-PBE.

Unit cell a=8.339 b=8.339 c=8.339 alpha=147.08 beta=147.08 gamma=47.24
Fractional positions:
Zn  0.000  0.000  0.000
Sb  0.250  0.750  0.500
Sb  0.750  0.250  0.500
Pb  0.390  0.390  0.000
Pb  0.610  0.610  0.000

Summary:
Formation energy (no corrections) in eV per formula unit: 1.299


Question: What is the formula in the first record?
Answer: YSb2Pb


Question: Which formula does entry 1 have?
Answer: YSb2Pb